Record 1
Y4CdRh5: relaxed, GGA-PBE.

It has space group P4/mmm (No. 123), with a = 3.4282 Å, b = 3.4282 Å, c = 16.6417 Å, α = 90.00°, β = 90.00° and γ = 90.00°. The distinct sites, in fractional coordinates, are Y at (0.0000, 0.0000, 0.1033), Y at (0.0000, 0.0000, 0.3103), Cd at (0.0000, 0.0000, 0.5000), Rh at (0.5000, 0.5000, 0.0000), Rh at (0.5000, 0.5000, 0.2045) and Rh at (0.5000, 0.5000, 0.4073).

As for the crystal system: tetragonal. The value obtained for the density of states at the Fermi level is 5.3 states/eV/f.u. Its formation energy is -0.71 eV per atom.

***

Record 2
Y4CdRh: relaxed, GGA-PBE.

It has space group C2/c (No. 15), with a = 8.8321 Å, b = 12.7587 Å, c = 6.1348 Å, α = 90.00°, β = 106.78° and γ = 90.00°. The distinct sites, in fractional coordinates, are Y at (0.1052, 0.1720, 0.0457), Y at (0.2127, 0.4169, 0.3934), Cd at (0.0000, 0.3766, 0.7500) and Rh at (0.0000, 0.0006, 0.2500).

The calculation puts the energy above the most stable polymorph in this dataset at 0.52 eV/f.u. As for the crystal system: monoclinic. The value obtained for the density of states at the Fermi level is 7.1 states/eV/f.u. Its formation energy is -0.40 eV per atom.

***

Record 3
YCd2Rh: relaxed, GGA-PBE.

It has space group Pmmm (No. 47), with a = 3.2859 Å, b = 4.2646 Å, c = 5.9351 Å, α = 90.00°, β = 90.00° and γ = 90.00°. The distinct sites, in fractional coordinates, are Y at (0.0000, 0.0000, 0.0000), Cd at (0.5000, 0.5000, 0.2738) and Rh at (0.0000, 0.0000, 0.5000).

As for the crystal system: orthorhombic. The value obtained for the density of states at the Fermi level is 2.7 states/eV/f.u. Its formation energy is -0.24 eV per atom.

***

Record 4
YCd2Rh: relaxed, GGA-PBE.

It has space group I4/mmm (No. 139), with a = 4.2179 Å, b = 4.2179 Å, c = 9.2472 Å, α = 90.00°, β = 90.00° and γ = 90.00°. The distinct sites, in fractional coordinates, are Y at (0.0000, 0.0000, 0.0000), Cd at (0.0000, 0.5000, 0.2500) and Rh at (0.0000, 0.0000, 0.5000).

As for the crystal system: tetragonal. The value obtained for the density of states at the Fermi level is 1.2 states/eV/f.u. Its formation energy is -0.40 eV per atom.

***

Record 5
YCd3Rh: relaxed, GGA-PBE.

It has space group Pm-3m (No. 221), with a = 5.0843 Å, b = 5.0843 Å, c = 5.0843 Å, α = 90.00°, β = 90.00° and γ = 90.00°. The distinct sites, in fractional coordinates, are Y at (0.0000, 0.0000, 0.0000), Cd at (0.0000, 0.5000, 0.5000) and Rh at (0.5000, 0.5000, 0.5000).

The calculation puts the energy above the most stable polymorph in this dataset at 2.10 eV/f.u. As for the crystal system: cubic. The value obtained for the density of states at the Fermi level is 2.5 states/eV/f.u. Its formation energy is 0.09 eV per atom.

***

Record 6
Y6Cd5Rh: relaxed, GGA-PBE.

It has space group Cmmm (No. 65), with a = 5.2129 Å, b = 15.6167 Å, c = 7.4331 Å, α = 90.00°, β = 90.00° and γ = 90.00°. The distinct sites, in fractional coordinates, are Y at (0.0000, 0.0000, 0.2322), Y at (0.0000, 0.3435, 0.2401), Cd at (0.0000, 0.1711, 0.5000), Cd at (0.0000, 0.1769, 0.0000), Cd at (0.0000, 0.5000, 0.5000) and Rh at (0.0000, 0.5000, 0.0000).

As for the crystal system: orthorhombic. The value obtained for the density of states at the Fermi level is 8.5 states/eV/f.u. Its formation energy is -0.43 eV per atom.

***

Record 7
YCdRh3: relaxed, GGA-PBE.

It has space group Pm-3m (No. 221), with a = 4.8487 Å, b = 4.8487 Å, c = 4.8487 Å, α = 90.00°, β = 90.00° and γ = 90.00°. The distinct sites, in fractional coordinates, are Y at (0.0000, 0.0000, 0.0000), Cd at (0.5000, 0.5000, 0.5000) and Rh at (0.0000, 0.5000, 0.5000).

The calculation puts the energy above the most stable polymorph in this dataset at 0.00 eV/f.u. As for the crystal system: cubic. The value obtained for the density of states at the Fermi level is 6.7 states/eV/f.u. Its formation energy is 0.72 eV per atom.

***

Record 8
YCd4Rh: relaxed, GGA-PBE.

It has space group C2/m (No. 12), with a = 13.5180 Å, b = 5.8016 Å, c = 7.1808 Å, α = 90.00°, β = 109.48° and γ = 90.00°. The distinct sites, in fractional coordinates, are Y at (0.1897, 0.0000, 0.3618), Cd at (0.0000, 0.2489, 0.0000), Cd at (0.0912, 0.2504, 0.6826), Cd at (0.2160, 0.5000, 0.0849) and Rh at (0.1087, 0.5000, 0.3589).

The calculation puts the energy above the most stable polymorph in this dataset at 0.00 eV/f.u. As for the crystal system: monoclinic. The value obtained for the density of states at the Fermi level is 2.8 states/eV/f.u. Its formation energy is -0.29 eV per atom.

***

Record 9
YCd3Rh: relaxed, GGA-PBE.

It has space group Pnma (No. 62), with a = 9.3871 Å, b = 4.0609 Å, c = 11.8701 Å, α = 90.00°, β = 90.00° and γ = 90.00°. The distinct sites, in fractional coordinates, are Y at (0.1942, 0.2500, 0.0119), Cd at (0.0422, 0.2500, 0.4129), Cd at (0.0598, 0.7500, 0.2119), Cd at (0.1807, 0.7500, 0.7916) and Rh at (0.1678, 0.2500, 0.6285).

The calculation puts the energy above the most stable polymorph in this dataset at 0.00 eV/f.u. As for the crystal system: orthorhombic. The value obtained for the density of states at the Fermi level is 1.5 states/eV/f.u. Its formation energy is -0.33 eV per atom.

***

Record 10
Y3Cd2Rh: relaxed, GGA-PBE.

It has space group Cmmm (No. 65), with a = 5.0902 Å, b = 15.2442 Å, c = 7.4821 Å, α = 90.00°, β = 90.00° and γ = 90.00°. The distinct sites, in fractional coordinates, are Y at (0.0000, 0.0000, 0.2353), Y at (0.0000, 0.3264, 0.2257), Cd at (0.0000, 0.1651, 0.5000), Cd at (0.0000, 0.5000, 0.0000), Cd at (0.0000, 0.5000, 0.5000) and Rh at (0.0000, 0.1593, 0.0000).

As for the crystal system: orthorhombic. The value obtained for the density of states at the Fermi level is 3.5 states/eV/f.u. Its formation energy is -0.51 eV per atom.

***

Record 11
YCd2Rh: relaxed, GGA-PBE.

It has space group Cmmm (No. 65), with a = 5.6544 Å, b = 8.8858 Å, c = 3.3711 Å, α = 90.00°, β = 90.00° and γ = 90.00°. The distinct sites, in fractional coordinates, are Y at (0.0000, 0.0000, 0.0000), Cd at (0.2500, 0.2500, 0.5000) and Rh at (0.0000, 0.5000, 0.0000).

As for the crystal system: orthorhombic. The value obtained for the density of states at the Fermi level is 1.4 states/eV/f.u. Its formation energy is -0.16 eV per atom.

***

Record 12
YCd2Rh2: relaxed, GGA-PBE.

It has space group I4/mmm (No. 139), with a = 4.0978 Å, b = 4.0978 Å, c = 12.3695 Å, α = 90.00°, β = 90.00° and γ = 90.00°. The distinct sites, in fractional coordinates, are Y at (0.0000, 0.0000, 0.0000), Cd at (0.0000, 0.5000, 0.2500) and Rh at (0.0000, 0.0000, 0.3996).

The calculation puts the energy above the most stable polymorph in this dataset at 0.21 eV/f.u. As for the crystal system: tetragonal. The value obtained for the density of states at the Fermi level is 2.4 states/eV/f.u. Its formation energy is -0.30 eV per atom.

***

Record 13
Y3Cd3Rh2: relaxed, GGA-PBE.

It has space group P-62m (No. 189), with a = 7.6181 Å, b = 7.6181 Å, c = 3.6489 Å, α = 90.00°, β = 90.00° and γ = 120.00°. The distinct sites, in fractional coordinates, are Y at (0.0000, 0.5757, 0.0000), Cd at (0.0000, 0.2308, 0.5000) and Rh at (0.3333, 0.6667, 0.5000).

As for the crystal system: hexagonal. The value obtained for the density of states at the Fermi level is 8.6 states/eV/f.u. Its formation energy is -0.58 eV per atom.

***

Record 14
YCd2Rh2: relaxed, GGA-PBE.

It has space group P4/mbm (No. 127), with a = 7.7642 Å, b = 7.7642 Å, c = 3.2017 Å, α = 90.00°, β = 90.00° and γ = 90.00°. The distinct sites, in fractional coordinates, are Y at (0.0000, 0.0000, 0.0000), Cd at (0.1250, 0.3750, 0.0000) and Rh at (0.1742, 0.6742, 0.5000).

The calculation puts the energy above the most stable polymorph in this dataset at 0.38 eV/f.u. As for the crystal system: tetragonal. The value obtained for the density of states at the Fermi level is 2.3 states/eV/f.u. Its formation energy is -0.27 eV per atom.

***

Record 15
YCd11Rh: relaxed, GGA-PBE.

It has space group C2/m (No. 12), with a = 5.7906 Å, b = 14.0899 Å, c = 7.5143 Å, α = 90.00°, β = 111.90° and γ = 90.00°. The distinct sites, in fractional coordinates, are Y at (0.0000, 0.0000, 0.0000), Cd at (0.0000, 0.0000, 0.5000), Cd at (0.0981, 0.3967, 0.2134), Cd at (0.1967, 0.1682, 0.3563), Cd at (0.2500, 0.2500, 0.0000) and Rh at (0.0000, 0.5000, 0.5000).

As for the crystal system: monoclinic. The value obtained for the density of states at the Fermi level is 7.0 states/eV/f.u. Its formation energy is -0.12 eV per atom.

***

Record 16
YCd2Rh: relaxed, GGA-PBE.

It has space group Cm (No. 8), with a = 8.4570 Å, b = 4.8966 Å, c = 4.8970 Å, α = 90.00°, β = 125.17° and γ = 90.00°. The distinct sites, in fractional coordinates, are Y at (0.0000, 0.0000, 0.0000), Cd at (0.0000, 0.5000, 0.5009), Cd at (0.2500, 0.5000, 0.2514) and Rh at (0.2500, 0.0000, 0.7499).

As for the crystal system: monoclinic. The value obtained for the density of states at the Fermi level is 2.8 states/eV/f.u. Its formation energy is -0.33 eV per atom.

***

Record 17
YCd2Rh: relaxed, GGA-PBE.

It has space group Pm (No. 6), with a = 3.7189 Å, b = 3.9470 Å, c = 6.3995 Å, α = 90.00°, β = 106.76° and γ = 90.00°. The distinct sites, in fractional coordinates, are Y at (0.0000, 0.0000, 0.0000), Cd at (0.2735, 0.0000, 0.5483), Cd at (0.6664, 0.5000, 0.3336) and Rh at (0.4365, 0.5000, 0.8710).

As for the crystal system: monoclinic. The value obtained for the density of states at the Fermi level is 1.7 states/eV/f.u. Its formation energy is -0.37 eV per atom.

***

Record 18
YCd2Rh: relaxed, GGA-PBE.

It has space group Pmmm (No. 47), with a = 4.0945 Å, b = 4.1062 Å, c = 4.9945 Å, α = 90.00°, β = 90.00° and γ = 90.00°. The distinct sites, in fractional coordinates, are Y at (0.0000, 0.0000, 0.0000), Cd at (0.0000, 0.5000, 0.5000), Cd at (0.5000, 0.0000, 0.5000) and Rh at (0.5000, 0.5000, 0.0000).

As for the crystal system: orthorhombic. The value obtained for the density of states at the Fermi level is 1.9 states/eV/f.u. Its formation energy is -0.34 eV per atom.

***

Record 19
Y4CdRh: relaxed, GGA-PBE.

It has space group F-43m (No. 216), with a = 13.6565 Å, b = 13.6565 Å, c = 13.6565 Å, α = 90.00°, β = 90.00° and γ = 90.00°. The distinct sites, in fractional coordinates, are Y at (0.0000, 0.0000, 0.1864), Y at (0.0605, 0.2500, 0.7500), Y at (0.0999, 0.0999, 0.4001), Cd at (0.1690, 0.1690, 0.1690) and Rh at (0.1075, 0.1075, 0.6075).

The calculation puts the energy above the most stable polymorph in this dataset at 0.00 eV/f.u. As for the crystal system: cubic. The value obtained for the density of states at the Fermi level is 4.2 states/eV/f.u. Its formation energy is -0.49 eV per atom.

***

Record 20
YCd2Rh2: relaxed, GGA-PBE.

It has space group P4/mbm (No. 127), with a = 7.5524 Å, b = 7.5524 Å, c = 3.4098 Å, α = 90.00°, β = 90.00° and γ = 90.00°. The distinct sites, in fractional coordinates, are Y at (0.0000, 0.0000, 0.0000), Cd at (0.1499, 0.3501, 0.5000) and Rh at (0.1461, 0.6461, 0.0000).

The calculation puts the energy above the most stable polymorph in this dataset at 0.00 eV/f.u. As for the crystal system: tetragonal. The value obtained for the density of states at the Fermi level is 1.6 states/eV/f.u. Its formation energy is -0.35 eV per atom.

***

Record 21
YCd2Rh: relaxed, GGA-PBE.

It has space group P2/m (No. 10), with a = 3.2800 Å, b = 4.9458 Å, c = 5.4287 Å, α = 90.00°, β = 105.82° and γ = 90.00°. The distinct sites, in fractional coordinates, are Y at (0.0000, 0.0000, 0.0000), Cd at (0.3536, 0.5000, 0.7254) and Rh at (0.5000, 0.0000, 0.5000).

As for the crystal system: monoclinic. The value obtained for the density of states at the Fermi level is 2.5 states/eV/f.u. Its formation energy is -0.29 eV per atom.

***

Record 22
YCd2Rh: relaxed, GGA-PBE.

It has space group I-42d (No. 122), with a = 4.0552 Å, b = 4.0552 Å, c = 21.7852 Å, α = 90.00°, β = 90.00° and γ = 90.00°. The distinct sites, in fractional coordinates, are Y at (0.0000, 0.0000, 0.0000), Cd at (0.2319, 0.2500, 0.6250) and Rh at (0.0000, 0.0000, 0.5000).

As for the crystal system: tetragonal. The value obtained for the density of states at the Fermi level is 1.4 states/eV/f.u. Its formation energy is -0.19 eV per atom.

***

Record 23
Y3Cd2Rh3: relaxed, GGA-PBE.

It has space group P6_3/mcm (No. 193), with a = 8.3023 Å, b = 8.3023 Å, c = 5.7738 Å, α = 90.00°, β = 90.00° and γ = 120.00°. The distinct sites, in fractional coordinates, are Y at (0.0000, 0.2762, 0.2500), Cd at (0.3333, 0.6667, 0.0000) and Rh at (0.0000, 0.3834, 0.7500).

As for the crystal system: hexagonal. The value obtained for the density of states at the Fermi level is 4.5 states/eV/f.u. Its formation energy is -0.59 eV per atom.